Entry 1:
First-principles (PBE-GGA) data for crystalline LaZn12Ir6 at its relaxed geometry, as listed in Alexandria.

Geometry as extended XYZ:
```
19
Lattice="-6.882 -1.699 -0.490 3.350 -5.752 -2.488 1.297 -0.168 6.985" Properties=species:S:1:pos:R:3 pbc="T T T"
Ir -3.517 -2.803 0.890
Ir 0.802 -4.513 0.047
Ir 1.282 -4.816 3.117
Ir -0.064 -2.156 4.045
Ir -2.171 -5.462 -0.038
Ir -3.037 -3.105 3.960
Zn -0.422 -6.127 1.717
Zn 2.065 -3.213 4.912
Zn -4.300 -4.405 -0.905
Zn -1.253 -3.017 -0.297
Zn -1.813 -1.492 2.290
Zn -1.916 -1.637 5.689
Zn -3.216 -5.020 2.262
Zn 2.864 -5.386 1.226
Zn -5.099 -2.233 2.781
Zn -0.982 -4.602 4.303
Zn -0.319 -5.982 -1.682
Zn 0.981 -2.599 1.744
La 0.000 0.000 0.000
```

The calculation puts the magnetic moment at 0.0 μB per cell. Its total DFT energy (no corrections) is -74.9 eV for the cell shown. As for the density of states at the Fermi level: 12.65 states/eV per cell.



Entry 2:
First-principles (PBE-GGA) data for crystalline Ho3TmRu2 at its relaxed geometry, as listed in Alexandria.

Geometry as extended XYZ:
```
12
Lattice="-5.903 -1.693 -2.584 3.236 -3.394 -5.167 1.331 -3.060 7.555" Properties=species:S:1:pos:R:3 pbc="T T T"
Ho -2.143 -1.695 -2.584
Ho -2.144 -4.678 -0.626
Ho -0.525 -3.392 -5.167
Ho -3.762 -2.981 1.958
Ho 2.425 -5.167 -2.154
Ho 0.807 -3.470 0.429
Ru 2.919 -5.419 0.676
Ru -1.306 -4.470 2.118
Ru -4.256 -2.729 -0.873
Ru -0.031 -3.678 -2.315
Tm 1.618 -1.697 -2.583
Tm 0.000 0.000 0.000
```

The calculation puts the magnetic moment at 0.0 μB per cell. Its total DFT energy (no corrections) is -76.6 eV for the cell shown. As for the density of states at the Fermi level: 4.45 states/eV per cell.



Entry 3:
First-principles (PBE-GGA) data for crystalline Sc8Bi2Ru at its relaxed geometry, as listed in Alexandria.

Geometry as extended XYZ:
```
11
Lattice="-3.456 -2.470 -2.829 4.934 -3.103 -3.319 -0.859 -2.710 8.020" Properties=species:S:1:pos:R:3 pbc="T T T"
Sc 0.658 -6.300 0.092
Sc -0.453 -3.402 -1.080
Sc -1.260 -3.406 4.513
Sc 1.072 -4.880 2.952
Sc -0.040 -1.982 1.780
Sc 3.736 -2.351 -2.512
Sc -3.118 -5.931 4.384
Sc 1.878 -4.877 -2.641
Bi 2.421 -3.611 0.195
Bi -1.803 -4.671 1.677
Ru -1.728 -1.235 -1.414
```

The calculation puts the magnetic moment at 0.0 μB per cell. Its total DFT energy (no corrections) is -71.6 eV for the cell shown. As for the density of states at the Fermi level: 11.08 states/eV per cell.



Entry 4:
First-principles (PBE-GGA) data for crystalline BeNiRu2 at its relaxed geometry, as listed in Alexandria.

Geometry as extended XYZ:
```
4
Lattice="-2.999 2.173 3.154 -3.988 -2.404 1.407 4.861 0.069 -0.189" Properties=species:S:1:pos:R:3 pbc="T T T"
Ni -1.311 -1.226 1.749
Be -0.816 1.063 2.623
Ru -3.760 -0.124 2.454
Ru -6.721 -0.222 4.387
```

The calculation puts the magnetic moment at 0.0 μB per cell. Its total DFT energy (no corrections) is -27.8 eV for the cell shown. As for the density of states at the Fermi level: 4.19 states/eV per cell.



Entry 5:
First-principles (PBE-GGA) data for crystalline Pm6GaTe3Se2 at its relaxed geometry, as listed in Alexandria.

Geometry as extended XYZ:
```
12
Lattice="-2.987 0.253 3.076 -5.430 -4.973 -4.864 6.455 -6.344 3.791" Properties=species:S:1:pos:R:3 pbc="T T T"
Te -2.836 -6.230 -2.242
Te 0.875 -4.834 4.245
Te -4.208 -2.360 -0.894
Pm 0.906 -6.236 1.392
Pm -0.426 -2.301 2.774
Pm -1.535 -8.763 -0.771
Pm -0.727 -9.851 3.102
Pm -1.234 -1.213 -1.099
Pm -2.867 -4.828 0.611
Se -1.817 -7.331 1.836
Se -0.144 -3.733 0.167
Ga -1.493 0.126 1.538
```

The calculation puts the magnetic moment at 0.0 μB per cell. The formation energy without anion corrections comes out at -1.4464 eV/atom. As for the density of states at the Fermi level: 5.56 states/eV per cell.



Entry 6:
First-principles (PBE-GGA) data for crystalline MgIrPt2 at its relaxed geometry, as listed in Alexandria.

Geometry as extended XYZ:
```
4
Lattice="4.597 0.000 0.000 0.000 2.817 0.000 0.000 0.000 4.761" Properties=species:S:1:pos:R:3 pbc="T T T"
Pt 0.000 0.353 4.439
Pt 2.299 0.352 1.553
Mg 2.299 1.761 3.893
Ir 0.000 1.761 2.018
```

The calculation puts the magnetic moment at 0.0 μB per cell. Its total DFT energy (no corrections) is -24.2 eV for the cell shown. As for the density of states at the Fermi level: 2.59 states/eV per cell.



Entry 7:
First-principles (PBE-GGA) data for crystalline Ce2RhCl at its relaxed geometry, as listed in Alexandria.

Geometry as extended XYZ:
```
4
Lattice="3.946 0.000 0.000 1.973 3.417 0.000 1.973 1.139 7.718" Properties=species:S:1:pos:R:3 pbc="T T T"
Ce 1.973 1.139 6.092
Ce 1.973 1.139 1.627
Rh 5.918 3.417 7.694
Cl 3.946 2.278 3.881
```

The calculation puts the magnetic moment at 2.1 μB per cell. The formation energy without anion corrections comes out at -1.0574 eV/atom. As for the density of states at the Fermi level: 11.27 states/eV per cell.



Entry 8:
First-principles (PBE-GGA) data for crystalline Cs8Au3Br2 at its relaxed geometry, as listed in Alexandria.

Geometry as extended XYZ:
```
13
Lattice="8.320 0.115 -3.142 -1.862 9.051 -4.600 0.539 -0.272 10.830" Properties=species:S:1:pos:R:3 pbc="T T T"
Au -0.486 2.361 -1.200
Au 4.160 0.058 -1.571
Au -1.376 6.690 -3.400
Cs 4.096 5.629 3.417
Cs 5.062 0.939 5.801
Cs 2.900 3.265 -0.328
Cs -0.682 7.824 4.090
Cs 7.678 1.071 -1.001
Cs 1.935 7.956 -2.712
Cs 0.663 3.293 6.212
Cs 6.333 5.601 -3.124
Br 2.727 2.204 3.232
Br 4.269 6.691 -0.144
```

The calculation puts the magnetic moment at 0.0 μB per cell. The formation energy without anion corrections comes out at -0.6663 eV/atom. As for the density of states at the Fermi level: 7.24 states/eV per cell.